# Ba2MgIn6Pd | Alexandria via LeMat-Bulk | PBE | optimized geometry
data_Ba2MgIn6Pd
_symmetry_space_group_name_H-M 'P 1'
_symmetry_Int_Tables_number 1
_cell_length_a 7.302
_cell_length_b 7.314
_cell_length_c 7.732
_cell_angle_alpha 89.97
_cell_angle_beta 61.94
_cell_angle_gamma 60.21
loop_
_symmetry_equiv_pos_as_xyz
'x,y,z'
loop_
_atom_site_label
_atom_site_fract_x
_atom_site_fract_y
_atom_site_fract_z
Ba1 0.123 0.189 0.066
Ba2 0.877 0.811 0.934
Mg1 0.500 0.500 0.000
In1 0.011 0.329 0.639
In2 0.307 0.841 0.362
In3 0.478 0.352 0.362
In4 0.522 0.648 0.638
In5 0.693 0.159 0.638
In6 0.989 0.671 0.361
Pd1 0.500 0.000 0.500
# - Total moment: 0.000 μB/atom
# - Energy of formation: -0.3391 eV/atom
# - Calculated density: 6.032 g/cm3
# - Symmetry: No. 2